Entry 1:
Below is crystalline RbZrGa3 at its relaxed geometry, with properties calculated at the GGA-PBE level.

a b c (Å): 5.3365 5.3365 5.3365
angles (deg): 90.00 90.00 90.00
With the nearest neighbours (Å) after each atom.
Space group Pm-3m (No. 221)
Symmetry-distinct sites (fractional):
1 Rb 0.0000 0.0000 0.0000 (multiplicity 1)  6 Ga 2.67
2 Zr 0.5000 0.5000 0.5000 (multiplicity 1)  12 Ga 3.77
3 Ga 0.0000 0.0000 0.5000 (multiplicity 3)  2 Rb 2.67

Summary:
Polymorph energy (0 for the lowest one) (meV/atom): 1276
Energy of formation (eV per atom): 1.492
V (Å³/atom): 30.4


Entry 2:
Below is crystalline RbZrGa at its relaxed geometry, with properties calculated at the GGA-PBE level.

a b c (Å): 8.2277 4.7570 12.1938
angles (deg): 90.00 93.96 90.00
With the nearest neighbours (Å) after each atom.
Space group C2/m (No. 12)
Symmetry-distinct sites (fractional):
1 Rb 0.1986 0.0000 0.3118 (multiplicity 4)  3 Ga 3.72, 1 Zr 3.82
2 Zr 0.1667 0.0000 0.9978 (multiplicity 4)  3 Zr 2.74-2.75, 6 Ga 3.01-3.04
3 Ga 0.0108 0.5000 0.1052 (multiplicity 4)  1 Ga 2.56

Summary:
Polymorph energy (0 for the lowest one) (meV/atom): 131
Energy of formation (eV per atom): 0.041
V (Å³/atom): 39.7


Entry 3:
Below is crystalline RbZr2Ga at its relaxed geometry, with properties calculated at the GGA-PBE level.

a b c (Å): 5.2962 5.2962 20.3728
angles (deg): 90.00 90.00 90.00
With the nearest neighbours (Å) after each atom.
Space group I-42d (No. 122)
Symmetry-distinct sites (fractional):
1 Rb 0.0000 0.0000 0.0000 (multiplicity 4)  4 Ga 3.74, 8 Zr 3.78-4.04
2 Zr 0.0366 0.2500 0.6250 (multiplicity 8)  2 Zr 2.68, 2 Ga 2.88
3 Ga 0.0000 0.0000 0.5000 (multiplicity 4)  4 Zr 2.88

Summary:
Energy of formation (eV per atom): 0.920
V (Å³/atom): 35.7